Entry 1:
DFT (PBE-GGA) results for a geometry-optimized Nd2Y3Ho6Mg structure.

Output
The value obtained for the energy relative to the elements is 0.02 eV/atom. The electronic total energy comes out at -4.81 eV/atom.

Cell: 6.1311 6.1311 11.7553 Å, 95.01 95.01 120.04°
Sites, in units of the cell vectors:
Nd1 0.3337 0.6663 0.0000
Nd2 0.6663 0.3337 0.0000
Y1 0.1655 0.8345 0.5000
Y2 0.8345 0.1655 0.5000
Y3 0.5000 0.5000 0.5000
Ho1 0.9169 0.5853 0.7495
Ho2 0.7513 0.7513 0.2514
Ho3 0.0831 0.4147 0.2505
Ho4 0.5853 0.9169 0.7495
Ho5 0.2487 0.2487 0.7486
Ho6 0.4147 0.0831 0.2505
Mg1 0.0000 0.0000 0.0000

---

Entry 2:
DFT (PBE-GGA) results for a geometry-optimized Tc2TeOs structure.

Output
The formation energy from raw total energies comes out at 0.557 eV/atom. The distance to the lowest polymorph of the same formula comes out at 137 meV/atom. The electronic total energy comes out at -8.22 eV/atom.

Cell: 4.4973 4.4973 4.4973 Å, 60.00 60.00 60.00°
Sites, in units of the cell vectors:
Te1 0.0000 0.0000 0.0000
Os1 0.5000 0.5000 0.5000
Tc1 0.2500 0.2500 0.2500
Tc2 0.7500 0.7500 0.7500

---

Q: The lowest electronic total energy belongs to which entry?
A: Tc2TeOs